No. 1
# PBE CsPuAg2I6, relaxed
data_CsPuAg2I6
_chemical_formula_sum 'Cs4 Pu4 Ag8 I24'
_cell_length_a 15.869
_cell_length_b 13.860
_cell_length_c 10.016
_cell_angle_alpha 90.00
_cell_angle_beta 112.90
_cell_angle_gamma 90.00
_space_group_name_H-M_alt 'C 1 2/c 1'
_space_group_IT_number 15
loop_
_space_group_symop_operation_xyz
'x,y,z'
'-x,-y,-z'
'-x,y,-z+1/2'
'x,-y,z+1/2'
'x+1/2,y+1/2,z'
'-x+1/2,-y+1/2,-z'
'-x+1/2,y+1/2,-z+1/2'
'x+1/2,-y+1/2,z+1/2'
loop_
_atom_site_label
_atom_site_type_symbol
_atom_site_fract_x
_atom_site_fract_y
_atom_site_fract_z
Cs1 Cs 0.000 0.192 0.250
Pu1 Pu 0.000 0.242 0.750
Ag1 Ag 0.227 0.344 0.909
I1 I 0.087 0.390 0.997
I2 I 0.100 0.078 0.977
I3 I 0.165 0.237 0.652
# Uncorrected energy ... -3.852 eV/atom
# Energy relative to the elements, uncorrected ... -0.833 eV/atom

No. 2
# PBE NaCaI3, relaxed
data_NaCaI3
_chemical_formula_sum 'Na1 Ca1 I3'
_cell_length_a 6.148
_cell_length_b 6.148
_cell_length_c 6.148
_cell_angle_alpha 90.00
_cell_angle_beta 90.00
_cell_angle_gamma 90.00
_space_group_name_H-M_alt 'P m -3 m'
_space_group_IT_number 221
_space_group_name_Hall '-P 4 2 3'
loop_
_atom_site_label
_atom_site_type_symbol
_atom_site_fract_x
_atom_site_fract_y
_atom_site_fract_z
Na1 Na 0.000 0.000 0.000
Ca1 Ca 0.500 0.500 0.500
I1 I 0.000 0.500 0.500
# Uncorrected energy ... -2.870 eV/atom
# Energy relative to the elements, uncorrected ... -1.276 eV/atom

No. 3
# PBE Y6Cu2S, relaxed
data_Y6Cu2S
_chemical_formula_sum 'Y12 Cu4 S2'
_cell_length_a 6.496
_cell_length_b 7.183
_cell_length_c 11.787
_cell_angle_alpha 90.00
_cell_angle_beta 121.20
_cell_angle_gamma 90.00
_space_group_name_H-M_alt 'P 1 21/c 1'
_space_group_IT_number 14
loop_
_space_group_symop_operation_xyz
'x,y,z'
'-x,-y,-z'
'-x,y+1/2,-z+1/2'
'x,-y+1/2,z+1/2'
loop_
_atom_site_label
_atom_site_type_symbol
_atom_site_fract_x
_atom_site_fract_y
_atom_site_fract_z
Y1 Y 0.098 0.194 0.434
Y2 Y 0.258 0.672 0.429
Y3 Y 0.399 0.035 0.246
Cu1 Cu 0.174 0.111 0.738
S1 S 0.500 0.000 0.500
# Uncorrected energy ... -6.215 eV/atom
# Energy relative to the elements, uncorrected ... -0.537 eV/atom

No. 4
# PBE Ce2TlHg6, relaxed
data_Ce2TlHg6
_chemical_formula_sum 'Ce2 Tl1 Hg6'
_cell_length_a 8.9553
_cell_length_b 8.9553
_cell_length_c 3.3610
_cell_angle_alpha 90.00
_cell_angle_beta 90.00
_cell_angle_gamma 120.00
_space_group_name_H-M_alt 'P 6/m m m'
_space_group_IT_number 191
_space_group_name_Hall '-P 6 2'
loop_
_atom_site_label
_atom_site_type_symbol
_atom_site_fract_x
_atom_site_fract_y
_atom_site_fract_z
Ce1 Ce 0.3333 0.6667 0.0000
Tl1 Tl 0.0000 0.0000 0.0000
Hg1 Hg 0.0000 0.3326 0.5000
# Uncorrected energy ... -1.999 eV/atom
# Excess energy over the best structure of this formula in the dataset ... 0.036 eV per atom